Crystalline RbMoAs at its relaxed geometry, computed with PBE.

Cell: 3.886 3.886 12.307 Å, 90.00 90.00 90.00°
Space group P4/nmm (No. 129, origin choice 2)
One atom of each set of equivalent atoms:
Rb 0.250 0.250 0.194
Mo 0.250 0.750 0.500
As 0.250 0.250 0.642

Values from the calculation:
Fermi-level density of states = 0.78 states/eV/f.u.
E_form = -0.25 eV/atom
uncorrected energy = -34.39 eV per cell